Density functional theory data (PBE-GGA) for a relaxed CdIn2As crystal.

Cell and atoms, written as extended XYZ:
```
8
Lattice="-3.485 3.485 5.366 3.485 -3.485 5.366 3.485 3.485 -5.366" Properties=species:S:1:pos:R:3 pbc="T T T"
Cd 0.000 0.000 0.000
Cd 0.000 3.485 2.683
In 1.742 -1.563 4.024
In 1.922 1.742 1.341
In 1.742 5.048 -1.341
In 1.563 1.742 6.707
As 3.485 0.000 2.683
As 0.000 0.000 5.366
```

* space-group type: I-42d
* formation enthalpy at 0 K: 0.0948 eV/atom
* crystal system: tetragonal


Density functional theory data (PBE-GGA) for a relaxed SrCdPt crystal.

Cell and atoms, written as extended XYZ:
```
3
Lattice="0.000 3.482 3.482 3.482 0.000 3.482 3.482 3.482 0.000" Properties=species:S:1:pos:R:3 pbc="T T T"
Sr 0.000 0.000 0.000
Cd 3.482 3.482 3.482
Pt 5.223 5.223 5.223
```

* space-group type: F-43m
* formation enthalpy at 0 K: -0.5524 eV/atom
* crystal system: cubic


Let's list size of the total moment in order: 0.0; 0.0 μB per cell.